Mn2PtBr: relaxed, PBE-GGA.

Cell: 7.332 7.332 7.332 Å, 28.51 28.51 28.51°
Sites, in units of the cell vectors:
Br 0.250 0.250 0.250
Mn 0.011 0.011 0.011
Mn 0.489 0.489 0.489
Pt 0.750 0.750 0.750

Values from the calculation:
Spin magnetization, μB per cell: 8.8
Electronic total energy, eV/atom: -6.49
Excess energy over the best structure of this formula in the dataset, eV/f.u.: 0.507
Raw formation energy, eV per atom: 0.0220

---

CaScGePd: relaxed, PBE-GGA.

Cell: 4.867 4.867 4.867 Å, 60.00 60.00 60.00°
Sites, in units of the cell vectors:
Sc 0.500 0.500 0.500
Ge 0.250 0.250 0.250
Ca 0.000 0.000 0.000
Pd 0.750 0.750 0.750

Values from the calculation:
Spin magnetization, μB per cell: 0.0
Electronic total energy, eV/atom: -5.21
Formation energy from the elements, meV per atom: -671

---

NaTa2PdI: relaxed, PBE-GGA.

Cell: 4.940 4.554 4.940 Å, 90.00 90.00 90.00°
Sites, in units of the cell vectors:
I 0.500 0.500 0.500
Na 0.000 0.000 0.000
Pd 0.000 0.500 0.000
Ta 0.000 0.000 0.500
Ta 0.500 0.000 0.000

Values from the calculation:
Spin magnetization, μB per cell: 1.1
Electronic total energy, eV/atom: -4.23
Raw formation energy, eV per atom: 2.1256

---

YSnIr2N: relaxed, PBE-GGA.

Cell: 5.013 4.133 5.013 Å, 90.00 90.00 90.00°
Sites, in units of the cell vectors:
Y 0.500 0.500 0.500
Ir 0.000 0.000 0.500
Ir 0.500 0.000 0.000
Sn 0.000 0.000 0.000
N 0.000 0.500 0.000

Values from the calculation:
Spin magnetization, μB per cell: 1.8
Electronic total energy, eV/atom: -6.38
Raw formation energy, eV per atom: 0.9257

---

Cs2MgPb7: relaxed, PBE-GGA.

Cell: 5.271 5.271 13.851 Å, 90.00 90.00 90.00°
Sites, in units of the cell vectors:
Cs 0.500 0.000 0.752
Cs 0.000 0.500 0.248
Mg 0.500 0.500 0.000
Pb 0.000 0.500 0.873
Pb 0.500 0.000 0.365
Pb 0.500 0.000 0.127
Pb 0.000 0.500 0.635
Pb 0.000 0.000 0.500
Pb 0.000 0.000 0.000
Pb 0.500 0.500 0.500

Values from the calculation:
Spin magnetization, μB per cell: 0.0
Electronic total energy, eV/atom: -3.04
Formation energy from the elements, meV per atom: -110

---

ThInPd4: relaxed, PBE-GGA.

Cell: 3.751 5.189 13.143 Å, 74.14 90.00 111.19°
Sites, in units of the cell vectors:
Th 0.250 0.000 0.250
Th 0.750 0.000 0.750
In 0.500 0.500 0.000
In 0.000 0.500 0.500
Pd 0.005 0.510 0.161
Pd 0.495 0.490 0.339
Pd 0.995 0.490 0.839
Pd 0.505 0.510 0.661
Pd 0.252 0.005 0.582
Pd 0.248 0.995 0.918
Pd 0.748 0.995 0.418
Pd 0.752 0.005 0.082

Values from the calculation:
Spin magnetization, μB per cell: 0.0
Electronic total energy, eV/atom: -5.82
Formation energy from the elements, meV per atom: -661
Excess energy over the best structure of this formula in the dataset, eV/f.u.: 0.108

---

AcDy2Mg6: relaxed, PBE-GGA.

Cell: 3.449 9.165 9.165 Å, 120.00 90.00 90.00°
Sites, in units of the cell vectors:
Ac 0.000 0.000 0.000
Dy 0.000 0.333 0.667
Dy 0.000 0.667 0.333
Mg 0.500 0.341 0.341
Mg 0.500 0.659 0.659
Mg 0.500 0.000 0.659
Mg 0.500 0.659 0.000
Mg 0.500 0.341 0.000
Mg 0.500 0.000 0.341

Values from the calculation:
Spin magnetization, μB per cell: 0.0
Electronic total energy, eV/atom: -2.59
Formation energy from the elements, meV per atom: -45

---

Sr2LaMo: relaxed, PBE-GGA.

Cell: 7.209 7.209 7.209 Å, 150.87 128.98 59.83°
Sites, in units of the cell vectors:
La 0.430 0.430 0.000
Mo 0.275 0.775 0.500
Sr 0.053 0.053 0.000
Sr 0.742 0.242 0.500

Values from the calculation:
Spin magnetization, μB per cell: 0.0
Electronic total energy, eV/atom: -4.20
Formation energy from the elements, meV per atom: 583
Excess energy over the best structure of this formula in the dataset, eV/f.u.: 0.249

---

AcPu2O: relaxed, PBE-GGA.

Cell: 4.029 4.029 7.318 Å, 74.02 74.02 60.00°
Sites, in units of the cell vectors:
Ac 0.500 0.500 0.500
O 0.000 0.000 0.000
Pu 0.314 0.314 0.058
Pu 0.686 0.686 0.942

Values from the calculation:
Spin magnetization, μB per cell: 0.0
Electronic total energy, eV/atom: -9.79
Raw formation energy, eV per atom: -0.3547

---

Ir4Rh: relaxed, PBE-GGA.

Cell: 4.779 4.757 6.944 Å, 109.36 90.00 90.00°
Sites, in units of the cell vectors:
Ir 0.072 0.598 0.195
Ir 0.572 0.902 0.305
Ir 0.928 0.402 0.805
Ir 0.428 0.098 0.695
Ir 0.948 0.802 0.590
Ir 0.448 0.698 0.910
Ir 0.052 0.198 0.410
Ir 0.552 0.302 0.090
Rh 0.000 0.000 0.000
Rh 0.500 0.500 0.500

Values from the calculation:
Spin magnetization, μB per cell: 0.0
Electronic total energy, eV/atom: -8.29
Formation energy from the elements, meV per atom: 268
Excess energy over the best structure of this formula in the dataset, eV/f.u.: 1.403

---

AlBPb3: relaxed, PBE-GGA.

Cell: 5.084 5.084 5.084 Å, 90.00 90.00 90.00°
Sites, in units of the cell vectors:
Pb 0.000 0.500 0.000
Pb 0.000 0.000 0.500
Pb 0.500 0.000 0.000
B 0.000 0.000 0.000
Al 0.500 0.500 0.500

Values from the calculation:
Spin magnetization, μB per cell: 0.0
Electronic total energy, eV/atom: -3.54
Formation energy from the elements, meV per atom: 771
Excess energy over the best structure of this formula in the dataset, eV/f.u.: 0.000

---

TaTlPt2I: relaxed, PBE-GGA.

Cell: 4.951 5.852 4.951 Å, 90.00 90.00 90.00°
Sites, in units of the cell vectors:
I 0.000 0.000 0.000
Tl 0.000 0.500 0.000
Pt 0.000 0.000 0.500
Pt 0.500 0.000 0.000
Ta 0.500 0.500 0.500

Values from the calculation:
Spin magnetization, μB per cell: 3.0
Electronic total energy, eV/atom: -3.82
Raw formation energy, eV per atom: 1.7513

---

IBr3Cl2: relaxed, PBE-GGA.

Cell: 14.126 13.206 8.935 Å, 36.08 37.77 57.67°
Sites, in units of the cell vectors:
I 0.284 0.750 0.250
I 0.716 0.250 0.750
Br 0.439 0.250 0.750
Br 0.561 0.750 0.250
Br 0.312 0.641 0.072
Br 0.025 0.859 0.428
Br 0.975 0.141 0.572
Br 0.688 0.359 0.928
Cl 0.658 0.474 0.093
Cl 0.775 0.974 0.593
Cl 0.225 0.026 0.407
Cl 0.342 0.526 0.907

Values from the calculation:
Spin magnetization, μB per cell: 0.0
Electronic total energy, eV/atom: -1.75
Raw formation energy, eV per atom: -0.0406

---

RbYZnRu2: relaxed, PBE-GGA.

Cell: 4.819 5.105 4.819 Å, 90.00 90.00 90.00°
Sites, in units of the cell vectors:
Y 0.500 0.500 0.500
Ru 0.000 0.000 0.500
Ru 0.500 0.000 0.000
Zn 0.000 0.500 0.000
Rb 0.000 0.000 0.000

Values from the calculation:
Spin magnetization, μB per cell: 0.0
Electronic total energy, eV/atom: -3.59
Formation energy from the elements, meV per atom: 1862

---

KBa2Re: relaxed, PBE-GGA.

Cell: 6.629 6.629 6.629 Å, 134.34 134.34 66.56°
Sites, in units of the cell vectors:
Ba 0.000 0.000 0.000
Ba 0.250 0.750 0.500
K 0.500 0.500 0.000
Re 0.750 0.250 0.500

Values from the calculation:
Spin magnetization, μB per cell: 1.7
Electronic total energy, eV/atom: -3.11
Formation energy from the elements, meV per atom: 1237
Excess energy over the best structure of this formula in the dataset, eV/f.u.: 1.582

---

Ba2RuCl: relaxed, PBE-GGA.

Cell: 3.751 3.753 8.427 Å, 90.00 90.00 90.00°
Sites, in units of the cell vectors:
Ba 0.000 0.000 0.979
Ba 0.000 0.000 0.521
Cl 0.500 0.500 0.250
Ru 0.500 0.500 0.750

Values from the calculation:
Spin magnetization, μB per cell: 0.6
Electronic total energy, eV/atom: -4.27
Excess energy over the best structure of this formula in the dataset, eV/f.u.: 0.000
Raw formation energy, eV per atom: -0.5271

---

Sc2TeSe: relaxed, PBE-GGA.

Cell: 3.891 3.891 6.174 Å, 90.00 90.00 90.00°
Sites, in units of the cell vectors:
Sc 0.000 0.000 0.961
Sc 0.500 0.500 0.312
Te 0.500 0.500 0.829
Se 0.000 0.000 0.397

Values from the calculation:
Spin magnetization, μB per cell: 0.0
Electronic total energy, eV/atom: -6.15
Excess energy over the best structure of this formula in the dataset, eV/f.u.: 0.283
Raw formation energy, eV per atom: -1.3232

---

Al2Si2P: relaxed, PBE-GGA.

Cell: 4.002 4.002 6.115 Å, 90.00 90.00 120.00°
Sites, in units of the cell vectors:
Al 0.667 0.333 0.617
Al 0.333 0.667 0.383
Si 0.667 0.333 0.191
Si 0.333 0.667 0.809
P 0.000 0.000 0.000

Values from the calculation:
Spin magnetization, μB per cell: 0.0
Electronic total energy, eV/atom: -4.47
Excess energy over the best structure of this formula in the dataset, eV/f.u.: 1.353
Raw formation energy, eV per atom: 0.2742

---

NaTb3Pm3Te8: relaxed, PBE-GGA.

Cell: 8.817 8.816 8.831 Å, 119.95 90.00 120.00°
Sites, in units of the cell vectors:
Na 0.000 0.000 0.500
Tb 0.500 0.000 0.500
Tb 0.500 0.500 0.500
Tb 0.000 0.500 0.500
Pm 0.000 0.000 0.000
Pm 0.000 0.500 0.000
Pm 0.500 0.500 0.000
Te 0.252 0.505 0.257
Te 0.748 0.495 0.743
Te 0.744 0.488 0.249
Te 0.256 0.512 0.751
Te 0.744 0.005 0.249
Te 0.256 0.995 0.751
Te 0.261 0.005 0.249
Te 0.739 0.995 0.751

Values from the calculation:
Spin magnetization, μB per cell: 0.0
Electronic total energy, eV/atom: -5.01
Raw formation energy, eV per atom: -1.3674

---

Hf2GaSiPd: relaxed, PBE-GGA.

Cell: 5.049 4.439 5.049 Å, 90.00 90.00 90.00°
Sites, in units of the cell vectors:
Si 0.000 0.500 0.000
Hf 0.000 0.000 0.500
Hf 0.500 0.000 0.000
Ga 0.500 0.500 0.500
Pd 0.000 0.000 0.000

Values from the calculation:
Spin magnetization, μB per cell: 0.0
Electronic total energy, eV/atom: -6.37
Raw formation energy, eV per atom: 0.3394

---

Nd3CdPt8: relaxed, PBE-GGA.

Cell: 5.481 5.481 9.508 Å, 73.25 73.25 60.00°
Sites, in units of the cell vectors:
Nd 0.377 0.377 0.868
Nd 0.993 0.993 0.021
Nd 0.506 0.506 0.482
Cd 0.871 0.871 0.387
Pt 0.941 0.437 0.185
Pt 0.437 0.937 0.688
Pt 0.437 0.437 0.185
Pt 0.937 0.937 0.688
Pt 0.188 0.188 0.436
Pt 0.688 0.688 0.936
Pt 0.437 0.941 0.185
Pt 0.937 0.437 0.688

Values from the calculation:
Spin magnetization, μB per cell: 0.0
Electronic total energy, eV/atom: -6.24
Formation energy from the elements, meV per atom: -950

---

BaY2Mo: relaxed, PBE-GGA.

Cell: 5.648 5.648 7.322 Å, 65.69 65.69 40.24°
Sites, in units of the cell vectors:
Ba 0.567 0.567 0.486
Mo 0.249 0.249 0.081
Y 0.944 0.944 0.117
Y 0.740 0.740 0.817

Values from the calculation:
Spin magnetization, μB per cell: 0.0
Electronic total energy, eV/atom: -5.82
Formation energy from the elements, meV per atom: 598
Excess energy over the best structure of this formula in the dataset, eV/f.u.: 1.028

---

Pm2DyIn2: relaxed, PBE-GGA.

Cell: 4.507 4.944 13.070 Å, 90.00 99.91 90.00°
Sites, in units of the cell vectors:
Pm 0.049 0.750 0.098
Pm 0.951 0.250 0.902
Pm 0.239 0.750 0.479
Pm 0.761 0.250 0.521
Dy 0.857 0.750 0.713
Dy 0.143 0.250 0.287
In 0.649 0.750 0.298
In 0.351 0.250 0.702
In 0.452 0.750 0.904
In 0.548 0.250 0.096

Values from the calculation:
Spin magnetization, μB per cell: 0.0
Electronic total energy, eV/atom: -4.30
Formation energy from the elements, meV per atom: -383
Excess energy over the best structure of this formula in the dataset, eV/f.u.: 0.000

---

KSrBr2: relaxed, PBE-GGA.

Cell: 7.473 7.473 9.087 Å, 65.72 65.72 90.00°
Sites, in units of the cell vectors:
Sr 0.000 0.000 0.000
Sr 0.750 0.250 0.500
K 0.500 0.500 0.000
K 0.250 0.750 0.500
Br 0.663 0.125 0.250
Br 0.087 0.625 0.250
Br 0.375 0.337 0.750
Br 0.875 0.913 0.750

Values from the calculation:
Spin magnetization, μB per cell: 0.1
Electronic total energy, eV/atom: -2.97
Excess energy over the best structure of this formula in the dataset, eV/f.u.: 0.449
Raw formation energy, eV per atom: -1.4348